{
  "formula": "MgP2IrS",
  "functional": "GGA-PBE",
  "state": "relaxed",
  "cell": [[4.467, 0.000, 0.000], [0.000, 4.467, 0.000], [0.000, 0.000, 4.403]],
  "species": ["Mg", "P", "P", "Ir", "S"],
  "fractional_positions": [[0.000, 0.000, 0.000], [0.000, 0.500, 0.500], [0.500, 0.000, 0.500], [0.500, 0.500, 0.000], [0.000, 0.000, 0.500]],
  "formation_energy_uncorrected_ev_per_atom": 0.863,
  "crystal_system": "tetragonal",
  "relative_energy_ev_per_atom": 0.550
}


{
  "formula": "MgP2IrS",
  "functional": "GGA-PBE",
  "state": "relaxed",
  "cell": [[4.462, 0.000, 0.000], [0.000, 4.462, 0.000], [0.000, 0.000, 5.369]],
  "species": ["Mg", "P", "P", "Ir", "S"],
  "fractional_positions": [[0.000, 0.000, 0.000], [0.000, 0.500, 0.500], [0.500, 0.000, 0.500], [0.500, 0.500, 0.500], [0.500, 0.500, 0.000]],
  "formation_energy_uncorrected_ev_per_atom": 0.313,
  "crystal_system": "tetragonal",
  "relative_energy_ev_per_atom": 0.000
}


{
  "formula": "MgSbPIr2",
  "functional": "GGA-PBE",
  "state": "relaxed",
  "cell": [[4.417, 0.000, 0.000], [0.000, 4.417, 0.000], [0.000, 0.000, 5.315]],
  "species": ["Mg", "Sb", "P", "Ir", "Ir"],
  "fractional_positions": [[0.000, 0.000, 0.000], [0.500, 0.500, 0.000], [0.500, 0.500, 0.500], [0.000, 0.500, 0.500], [0.500, 0.000, 0.500]],
  "formation_energy_uncorrected_ev_per_atom": 0.429,
  "crystal_system": "tetragonal"
}


{
  "formula": "Mg2SiPIr6",
  "functional": "GGA-PBE",
  "state": "relaxed",
  "cell": [[5.338, 0.000, 0.000], [0.000, 8.309, 0.000], [0.000, 0.000, 8.043]],
  "species": ["Mg", "Mg", "Mg", "Mg", "Si", "Si", "P", "P", "Ir", "Ir", "Ir", "Ir", "Ir", "Ir", "Ir", "Ir", "Ir", "Ir", "Ir", "Ir"],
  "fractional_positions": [[0.250, 0.051, 0.150], [0.250, 0.449, 0.150], [0.750, 0.551, 0.850], [0.750, 0.949, 0.850], [0.250, 0.750, 0.844], [0.750, 0.250, 0.156], [0.250, 0.250, 0.682], [0.750, 0.750, 0.318], [0.000, 0.250, 0.388], [0.000, 0.750, 0.612], [0.008, 0.750, 0.091], [0.250, 0.014, 0.540], [0.250, 0.486, 0.540], [0.492, 0.750, 0.091], [0.500, 0.250, 0.388], [0.500, 0.750, 0.612], [0.508, 0.250, 0.909], [0.750, 0.514, 0.460], [0.750, 0.986, 0.460], [0.992, 0.250, 0.909]],
  "formation_energy_uncorrected_ev_per_atom": -0.117,
  "crystal_system": "orthorhombic"
}


{
  "formula": "Sm2MgP3Ir12",
  "functional": "GGA-PBE",
  "state": "relaxed",
  "cell": [[4.521, 2.610, 4.279], [-4.521, 2.610, 4.279], [0.000, -5.221, 4.279]],
  "species": ["Sm", "Sm", "Mg", "P", "P", "P", "Ir", "Ir", "Ir", "Ir", "Ir", "Ir", "Ir", "Ir", "Ir", "Ir", "Ir", "Ir"],
  "fractional_positions": [[0.134, 0.134, 0.134], [0.866, 0.866, 0.866], [0.500, 0.500, 0.500], [0.000, 0.500, 0.500], [0.500, 0.000, 0.500], [0.500, 0.500, 0.000], [0.125, 0.125, 0.606], [0.125, 0.606, 0.125], [0.177, 0.673, 0.673], [0.327, 0.327, 0.823], [0.327, 0.823, 0.327], [0.394, 0.875, 0.875], [0.606, 0.125, 0.125], [0.673, 0.177, 0.673], [0.673, 0.673, 0.177], [0.823, 0.327, 0.327], [0.875, 0.394, 0.875], [0.875, 0.875, 0.394]],
  "e_form_kj_per_mol_atoms": -5.76,
  "crystal_system": "trigonal"
}


{
  "formula": "Sm2MgP3Ir4",
  "functional": "GGA-PBE",
  "state": "relaxed",
  "cell": [[4.020, 0.000, 0.000], [0.000, 4.020, 0.000], [0.000, 0.000, 10.632]],
  "species": ["Sm", "Sm", "Mg", "P", "P", "P", "Ir", "Ir", "Ir", "Ir"],
  "fractional_positions": [[0.000, 0.500, 0.241], [0.500, 0.000, 0.759], [0.000, 0.000, 0.500], [0.000, 0.500, 0.870], [0.500, 0.000, 0.130], [0.500, 0.500, 0.500], [0.000, 0.000, 0.000], [0.000, 0.500, 0.654], [0.500, 0.000, 0.346], [0.500, 0.500, 0.000]],
  "e_form_kj_per_mol_atoms": -86.05,
  "crystal_system": "tetragonal"
}


{
  "formula": "Tb2MgP3Ir12",
  "functional": "GGA-PBE",
  "state": "relaxed",
  "cell": [[4.487, 2.591, 4.281], [-4.487, 2.591, 4.281], [0.000, -5.181, 4.281]],
  "species": ["Tb", "Tb", "Mg", "P", "P", "P", "Ir", "Ir", "Ir", "Ir", "Ir", "Ir", "Ir", "Ir", "Ir", "Ir", "Ir", "Ir"],
  "fractional_positions": [[0.131, 0.131, 0.131], [0.869, 0.869, 0.869], [0.500, 0.500, 0.500], [0.000, 0.500, 0.500], [0.500, 0.000, 0.500], [0.500, 0.500, 0.000], [0.125, 0.125, 0.606], [0.125, 0.606, 0.125], [0.174, 0.675, 0.675], [0.325, 0.325, 0.826], [0.325, 0.826, 0.325], [0.394, 0.875, 0.875], [0.606, 0.125, 0.125], [0.675, 0.174, 0.675], [0.675, 0.675, 0.174], [0.826, 0.325, 0.325], [0.875, 0.394, 0.875], [0.875, 0.875, 0.394]],
  "e_form_kj_per_mol_atoms": -11.23,
  "crystal_system": "trigonal"
}


{
  "formula": "MgTcPIr2",
  "functional": "GGA-PBE",
  "state": "relaxed",
  "cell": [[4.790, 0.000, 0.000], [0.000, 4.790, 0.000], [0.000, 0.000, 4.449]],
  "species": ["Mg", "Tc", "P", "Ir", "Ir"],
  "fractional_positions": [[0.000, 0.000, 0.000], [0.500, 0.500, 0.500], [0.500, 0.500, 0.000], [0.000, 0.500, 0.500], [0.500, 0.000, 0.500]],
  "e_form_kj_per_mol_atoms": 85.53,
  "crystal_system": "tetragonal"
}


{
  "formula": "ThMgP2Ir2",
  "functional": "GGA-PBE",
  "state": "relaxed",
  "cell": [[4.034, 0.000, 0.000], [-2.017, 3.494, 0.000], [0.000, 0.000, 7.843]],
  "species": ["Th", "Mg", "P", "P", "Ir", "Ir"],
  "fractional_positions": [[0.000, 0.000, 0.000], [0.000, 0.000, 0.500], [0.333, 0.667, 0.754], [0.667, 0.333, 0.246], [0.333, 0.667, 0.281], [0.667, 0.333, 0.719]],
  "e_form_kj_per_mol_atoms": -82.03,
  "crystal_system": "trigonal"
}


{
  "formula": "Th2MgP3Ir12",
  "functional": "GGA-PBE",
  "state": "relaxed",
  "cell": [[4.178, 2.412, 5.417], [-4.178, 2.412, 5.417], [0.000, -4.825, 5.417]],
  "species": ["Th", "Th", "Mg", "P", "P", "P", "Ir", "Ir", "Ir", "Ir", "Ir", "Ir", "Ir", "Ir", "Ir", "Ir", "Ir", "Ir"],
  "fractional_positions": [[0.105, 0.105, 0.105], [0.895, 0.895, 0.895], [0.500, 0.500, 0.500], [0.000, 0.500, 0.500], [0.500, 0.000, 0.500], [0.500, 0.500, 0.000], [0.131, 0.644, 0.644], [0.158, 0.158, 0.593], [0.158, 0.593, 0.158], [0.356, 0.356, 0.869], [0.356, 0.869, 0.356], [0.407, 0.842, 0.842], [0.593, 0.158, 0.158], [0.644, 0.131, 0.644], [0.644, 0.644, 0.131], [0.842, 0.407, 0.842], [0.842, 0.842, 0.407], [0.869, 0.356, 0.356]],
  "e_form_kj_per_mol_atoms": -7.70,
  "crystal_system": "trigonal"
}


{
  "formula": "MgTlPIr2",
  "functional": "GGA-PBE",
  "state": "relaxed",
  "cell": [[4.991, 0.000, 0.000], [0.000, 4.991, 0.000], [0.000, 0.000, 4.931]],
  "species": ["Mg", "Tl", "P", "Ir", "Ir"],
  "fractional_positions": [[0.000, 0.000, 0.000], [0.000, 0.000, 0.500], [0.500, 0.500, 0.000], [0.000, 0.500, 0.500], [0.500, 0.000, 0.500]],
  "e_form_kj_per_mol_atoms": 178.13,
  "crystal_system": "tetragonal"
}


{
  "formula": "Tm2MgP3Ir12",
  "functional": "GGA-PBE",
  "state": "relaxed",
  "cell": [[4.454, 2.572, 4.287], [-4.454, 2.572, 4.287], [0.000, -5.143, 4.287]],
  "species": ["Tm", "Tm", "Mg", "P", "P", "P", "Ir", "Ir", "Ir", "Ir", "Ir", "Ir", "Ir", "Ir", "Ir", "Ir", "Ir", "Ir"],
  "fractional_positions": [[0.128, 0.128, 0.128], [0.872, 0.872, 0.872], [0.500, 0.500, 0.500], [0.000, 0.500, 0.500], [0.500, 0.000, 0.500], [0.500, 0.500, 0.000], [0.125, 0.125, 0.605], [0.125, 0.605, 0.125], [0.171, 0.676, 0.676], [0.324, 0.324, 0.829], [0.324, 0.829, 0.324], [0.395, 0.875, 0.875], [0.605, 0.125, 0.125], [0.676, 0.171, 0.676], [0.676, 0.676, 0.171], [0.829, 0.324, 0.324], [0.875, 0.395, 0.875], [0.875, 0.875, 0.395]],
  "e_form_kj_per_mol_atoms": -15.82,
  "crystal_system": "trigonal"
}